[1]
The following is a DFT calculation (PBE-GGA) of a geometry-optimized BaHfGa2Br8 structure.

```
data_BaHfGa2Br8
_chemical_formula_sum 'Ba1 Hf1 Ga2 Br8'
_space_group_name_H-M_alt 'P 1'
_space_group_IT_number 1
_cell_length_a 7.301
_cell_length_b 7.046
_cell_length_c 9.055
_cell_angle_alpha 89.95
_cell_angle_beta 90.02
_cell_angle_gamma 91.00
loop_
_space_group_symop_operation_xyz
'x,y,z'
loop_
_atom_site_label
_atom_site_type_symbol
_atom_site_fract_x
_atom_site_fract_y
_atom_site_fract_z
_atom_site_occupancy
Br1 Br 0.138 0.774 0.206 1
Br2 Br 0.862 0.225 0.206 1
Br3 Br 0.862 0.226 0.794 1
Br4 Br 0.701 0.798 0.000 1
Br5 Br 0.138 0.775 0.794 1
Br6 Br 0.354 0.278 0.500 1
Br7 Br 0.646 0.722 0.500 1
Br8 Br 0.299 0.202 0.000 1
Hf1 Hf 0.000 0.000 0.000 1
Ba1 Ba 0.000 0.000 0.500 1
Ga1 Ga 0.500 0.500 0.744 1
Ga2 Ga 0.500 0.500 0.256 1
```

## Properties
Space group: P-1, No. 2
ΔE_f (raw) in meV/atom: -1284
Final energy in eV per cell: -46.7
Spin magnetization in μB/atom: 0.00

***

[2]
The following is a DFT calculation (PBE-GGA) of a geometry-optimized KAu6 structure.

```
data_KAu6
_chemical_formula_sum 'K4 Au24'
_space_group_name_H-M_alt 'P 1'
_space_group_IT_number 1
_cell_length_a 5.773
_cell_length_b 9.131
_cell_length_c 11.321
_cell_angle_alpha 90.00
_cell_angle_beta 90.00
_cell_angle_gamma 90.00
loop_
_space_group_symop_operation_xyz
'x,y,z'
loop_
_atom_site_label
_atom_site_type_symbol
_atom_site_fract_x
_atom_site_fract_y
_atom_site_fract_z
_atom_site_occupancy
K1 K 0.750 0.240 0.938 1
K2 K 0.750 0.740 0.562 1
K3 K 0.250 0.260 0.438 1
K4 K 0.250 0.760 0.062 1
Au1 Au 0.510 0.561 0.808 1
Au2 Au 0.750 0.184 0.236 1
Au3 Au 0.750 0.684 0.264 1
Au4 Au 0.250 0.816 0.764 1
Au5 Au 0.250 0.889 0.519 1
Au6 Au 0.250 0.072 0.909 1
Au7 Au 0.250 0.316 0.736 1
Au8 Au 0.990 0.061 0.692 1
Au9 Au 0.250 0.389 0.981 1
Au10 Au 0.490 0.439 0.192 1
Au11 Au 0.250 0.572 0.591 1
Au12 Au 0.990 0.561 0.808 1
Au13 Au 0.750 0.111 0.481 1
Au14 Au 0.250 0.649 0.352 1
Au15 Au 0.490 0.939 0.308 1
Au16 Au 0.750 0.851 0.852 1
Au17 Au 0.750 0.428 0.409 1
Au18 Au 0.010 0.439 0.192 1
Au19 Au 0.750 0.928 0.091 1
Au20 Au 0.750 0.611 0.019 1
Au21 Au 0.750 0.351 0.648 1
Au22 Au 0.010 0.939 0.308 1
Au23 Au 0.250 0.149 0.148 1
Au24 Au 0.510 0.061 0.692 1
```

## Properties
Space group: Pnma, No. 62
Final energy in eV per cell: -85.6
Spin magnetization in μB/atom: 0.00
Calculated formation energy in eV/atom: -0.09

***

[3]
The following is a DFT calculation (PBE-GGA) of a geometry-optimized PmNd4Ga structure.

```
data_PmNd4Ga
_chemical_formula_sum 'Pm2 Nd8 Ga2'
_space_group_name_H-M_alt 'P 1'
_space_group_IT_number 1
_cell_length_a 6.482
_cell_length_b 9.273
_cell_length_c 8.286
_cell_angle_alpha 114.35
_cell_angle_beta 100.40
_cell_angle_gamma 112.11
loop_
_space_group_symop_operation_xyz
'x,y,z'
loop_
_atom_site_label
_atom_site_type_symbol
_atom_site_fract_x
_atom_site_fract_y
_atom_site_fract_z
_atom_site_occupancy
Nd1 Nd 0.956 0.831 0.215 1
Nd2 Nd 0.759 0.384 0.215 1
Nd3 Nd 0.629 0.078 0.360 1
Nd4 Nd 0.769 0.718 0.640 1
Nd5 Nd 0.371 0.922 0.640 1
Nd6 Nd 0.241 0.616 0.785 1
Nd7 Nd 0.044 0.169 0.785 1
Nd8 Nd 0.231 0.282 0.360 1
Ga1 Ga 0.749 0.999 0.999 1
Ga2 Ga 0.251 0.001 0.001 1
Pm1 Pm 0.653 0.403 0.805 1
Pm2 Pm 0.347 0.597 0.195 1
```

## Properties
Space group: C2/c, No. 15
Final energy in eV per cell: -54.9
Spin magnetization in μB/atom: 0.00
Calculated formation energy in eV/atom: -0.10

***

[4]
The following is a DFT calculation (PBE-GGA) of a geometry-optimized KCdTcW2 structure.

```
data_KCdTcW2
_chemical_formula_sum 'K1 Cd1 Tc1 W2'
_space_group_name_H-M_alt 'P 1'
_space_group_IT_number 1
_cell_length_a 4.518
_cell_length_b 4.934
_cell_length_c 4.518
_cell_angle_alpha 90.00
_cell_angle_beta 90.00
_cell_angle_gamma 90.00
loop_
_space_group_symop_operation_xyz
'x,y,z'
loop_
_atom_site_label
_atom_site_type_symbol
_atom_site_fract_x
_atom_site_fract_y
_atom_site_fract_z
_atom_site_occupancy
W1 W 0.500 0.000 0.000 1
W2 W 0.000 0.000 0.500 1
Tc1 Tc 0.500 0.500 0.500 1
Cd1 Cd 0.000 0.500 0.000 1
K1 K 0.000 0.000 0.000 1
```

## Properties
Space group: P4/mmm, No. 123
Final energy in eV per cell: -20.7
Spin magnetization in μB/atom: 0.00
Calculated formation energy in eV/atom: 3.53

***

[5]
The following is a DFT calculation (PBE-GGA) of a geometry-optimized PaCdAg2 structure.

```
data_PaCdAg2
_chemical_formula_sum 'Pa1 Cd1 Ag2'
_space_group_name_H-M_alt 'P 1'
_space_group_IT_number 1
_cell_length_a 3.076
_cell_length_b 3.076
_cell_length_c 10.475
_cell_angle_alpha 81.23
_cell_angle_beta 81.23
_cell_angle_gamma 59.88
loop_
_space_group_symop_operation_xyz
'x,y,z'
loop_
_atom_site_label
_atom_site_type_symbol
_atom_site_fract_x
_atom_site_fract_y
_atom_site_fract_z
_atom_site_occupancy
Ag1 Ag 0.255 0.255 0.236 1
Ag2 Ag 0.079 0.079 0.764 1
Cd1 Cd 0.667 0.667 0.000 1
Pa1 Pa 0.499 0.499 0.500 1
```

## Properties
Space group: Cm, No. 8
Final energy in eV per cell: -15.8
Spin magnetization in μB/atom: 0.08
Calculated formation energy in eV/atom: 0.07

***

[6]
The following is a DFT calculation (PBE-GGA) of a geometry-optimized Tl6Se2SF structure.

```
data_Tl6Se2SF
_chemical_formula_sum 'Tl6 Se2 S1 F1'
_space_group_name_H-M_alt 'P 1'
_space_group_IT_number 1
_cell_length_a 7.340
_cell_length_b 7.321
_cell_length_c 8.004
_cell_angle_alpha 63.30
_cell_angle_beta 63.67
_cell_angle_gamma 60.35
loop_
_space_group_symop_operation_xyz
'x,y,z'
loop_
_atom_site_label
_atom_site_type_symbol
_atom_site_fract_x
_atom_site_fract_y
_atom_site_fract_z
_atom_site_occupancy
F1 F 0.769 0.750 0.722 1
Se1 Se 0.993 0.998 0.015 1
Se2 Se 0.545 0.555 0.357 1
Tl1 Tl 0.555 0.187 0.274 1
Tl2 Tl 0.422 0.756 0.712 1
Tl3 Tl 0.182 0.990 0.278 1
Tl4 Tl 0.117 0.415 0.705 1
Tl5 Tl 0.755 0.110 0.712 1
Tl6 Tl 0.984 0.558 0.269 1
S1 S 0.341 0.343 0.970 1
```

## Properties
Space group: P1, No. 1
ΔE_f (raw) in meV/atom: -541
Final energy in eV per cell: -32.6
Spin magnetization in μB/atom: 0.00

***

Which of these has the lowest final energy?
KAu6

***

final energy of number 1 (BaHfGa2Br8)?
-46.7 eV per cell